Mg2Ta2NbN6: optimized geometry, GGA-PBE.

Computed properties:
Formation energy without anion corrections (meV/atom): -956

Cell lengths 5.3386, 9.2755, 5.4516 Å; angles 90.00, 108.66, 90.00 degrees
Space group C2/m (No. 12)
Asymmetric unit:
Mg 0.0000 0.1678 0.0000 x4
Ta 0.0000 0.3364 0.5000 x4
Nb 0.0000 0.0000 0.5000 x2
N 0.2373 0.1739 0.7269 x8
N 0.2477 0.5000 0.7286 x4



PuScPb: optimized geometry, GGA-PBE.

Computed properties:
ΔE_f (meV per atom): -65
Excess energy over the best structure of this formula in the dataset (eV/atom): 0.222

Cell lengths 3.8808, 3.8808, 10.5772 Å; angles 90.00, 90.00, 90.00 degrees
Space group I4mm (No. 107)
Asymmetric unit:
Pu 0.0000 0.0000 0.0000 x2
Sc 0.0000 0.0000 0.6843 x2
Pb 0.0000 0.0000 0.3224 x2



SrSc2AgO: optimized geometry, GGA-PBE.

Computed properties:
Formation energy without anion corrections (meV/atom): 423
Excess energy over the best structure of this formula in the dataset (eV/atom): 1.539

Cell lengths 5.5749, 5.5749, 4.2593 Å; angles 90.00, 90.00, 90.00 degrees
Space group P4/mmm (No. 123)
Asymmetric unit:
Sr 0.0000 0.0000 0.0000 x1
Sc 0.0000 0.5000 0.5000 x2
Ag 0.5000 0.5000 0.5000 x1
O 0.5000 0.5000 0.0000 x1



K5Th3Se8: optimized geometry, GGA-PBE.

Computed properties:
Formation energy without anion corrections (meV/atom): -1556

Cell lengths 8.8281, 8.8281, 22.9452 Å; angles 90.00, 90.00, 120.00 degrees
Space group R-3m (No. 166, hexagonal axes)
Asymmetric unit:
K 0.0000 0.0000 0.0000 x3
K 0.0000 0.0000 0.5000 x3
K 0.0000 0.5000 0.0000 x9
Th 0.0000 0.5000 0.5000 x9
Se 0.0000 0.0000 0.2368 x6
Se 0.0255 0.5128 0.7628 x18



Number 1: DFT total energy -8.86 eV per atom, N(E_F) 0.28 states/eV per atom. Number 2: DFT total energy -8.19 eV per atom, N(E_F) 1.99 states/eV per atom. Number 3: DFT total energy -4.01 eV per atom, N(E_F) 1.41 states/eV per atom. Number 4: DFT total energy -5.03 eV per atom, N(E_F) 0.41 states/eV per atom.